This record from the Alexandria database describes crystalline PmPuCuNi at its relaxed geometry. The functional is PBE-GGA.

Summary:
space group: F-43m, No. 216
formation energy from the elements: -0.04 eV/atom
volume: 20.8 Å³/atom

Cell: 4.9024 4.9024 4.9024 Å, 60.00 60.00 60.00°
Last column: nearest neighbours and their distance in Å.
Sites, in units of the cell vectors:
1 Pm 0.0000 0.0000 0.0000  4 Ni 3.00, 4 Cu 3.00
2 Pu 0.5000 0.5000 0.5000  4 Ni 3.00, 4 Cu 3.00
3 Cu 0.2500 0.2500 0.2500  4 Pm 3.00, 4 Pu 3.00
4 Ni 0.7500 0.7500 0.7500  4 Pm 3.00, 4 Pu 3.00